Entry 1:
The following is a DFT calculation (PBE) of a relaxed structure of LiSiNi2.

Results
As for the uncorrected energy: -4.883 eV/atom. Its space group is P6_3/mmc (194).

The structure in POSCAR format:
```
LiSiNi2
1.0
-2.725 2.248 1.825
1.261 -3.367 1.699
4.975 3.461 3.168
Ni Si Li
4 2 2
direct
0.667 0.333 0.920 Ni
0.667 0.333 0.580 Ni
0.333 0.667 0.420 Ni
0.333 0.667 0.080 Ni
0.667 0.333 0.250 Si
0.333 0.667 0.750 Si
0.000 0.000 0.750 Li
0.000 0.000 0.250 Li
```

***

Entry 2:
The following is a DFT calculation (PBE) of a relaxed structure of SmBW.

Results
Its space group is F-43m (216). For the relative energy among the computed polymorphs, the calculation gives 0 kJ/mol of formula units.

The structure in POSCAR format:
```
SmBW
1.0
1.142 -3.186 -2.507
-1.244 -3.926 0.884
-2.867 -1.898 -2.432
W B Sm
1 1 1
direct
0.750 0.750 0.750 W
0.000 0.000 0.000 B
0.250 0.250 0.250 Sm
```

***

Entry 3:
The following is a DFT calculation (PBE) of a relaxed structure of ErTm2In3CuAg2.

Results
As for the uncorrected energy: -3.876 eV/atom. Its space group is Amm2 (38).

The structure in POSCAR format:
```
ErTm2In3CuAg2
1.0
3.833 0.000 0.000
0.000 6.722 3.875
0.000 -6.722 3.875
In Er Ag Tm Cu
3 1 2 2 1
direct
0.500 0.000 0.253 In
0.500 0.747 0.747 In
0.500 0.253 0.000 In
0.000 0.402 0.402 Er
0.500 0.333 0.667 Ag
0.500 0.667 0.333 Ag
0.000 0.000 0.598 Tm
0.000 0.598 0.000 Tm
0.000 0.000 0.000 Cu
```

***

Entry 4:
The following is a DFT calculation (PBE) of a relaxed structure of LaNdTl2Zn2.

Results
As for the uncorrected energy: -3.212 eV/atom. Its space group is P3m1 (156).

The structure in POSCAR format:
```
LaNdTl2Zn2
1.0
4.808 0.000 0.000
-2.404 4.164 0.000
0.000 0.000 7.706
La Zn Tl Nd
1 2 2 1
direct
0.000 0.000 0.346 La
0.667 0.333 0.552 Zn
0.333 0.667 0.043 Zn
0.333 0.667 0.629 Tl
0.667 0.333 0.119 Tl
0.000 0.000 0.847 Nd
```

***

Entry 5:
The following is a DFT calculation (PBE) of a relaxed structure of RbDySO.

Results
Its space group is Pbcm (57). For the relative energy among the computed polymorphs, the calculation gives 81 kJ/mol of formula units.

The structure in POSCAR format:
```
RbDySO
1.0
8.360 0.000 0.000
0.000 9.307 0.000
0.000 0.000 5.536
Rb O Dy S
4 4 4 4
direct
0.383 0.098 0.062 Rb
0.883 0.902 0.062 Rb
0.117 0.098 0.562 Rb
0.617 0.902 0.562 Rb
0.040 0.170 0.062 O
0.540 0.830 0.062 O
0.460 0.170 0.562 O
0.960 0.830 0.562 O
0.568 0.360 0.563 Dy
0.068 0.640 0.563 Dy
0.932 0.360 0.063 Dy
0.432 0.640 0.063 Dy
0.604 0.390 0.063 S
0.104 0.610 0.063 S
0.396 0.610 0.563 S
0.896 0.390 0.563 S
```

***

Entry 6:
The following is a DFT calculation (PBE) of a relaxed structure of PrNd2Ga2Co4.

Results
As for the uncorrected energy: -5.702 eV/atom. Its space group is C2/m (12).

The structure in POSCAR format:
```
PrNd2Ga2Co4
1.0
-0.477 5.334 -1.168
-2.789 2.992 -3.647
-5.714 -0.615 5.909
Nd Ga Co Pr
2 2 4 1
direct
0.374 0.374 0.624 Nd
0.626 0.626 0.376 Nd
0.677 0.677 0.778 Ga
0.323 0.323 0.222 Ga
0.256 0.256 0.919 Co
0.920 0.920 0.372 Co
0.080 0.080 0.628 Co
0.744 0.744 0.081 Co
0.000 0.000 0.000 Pr
```

***

Entry 7:
The following is a DFT calculation (PBE) of a relaxed structure of Na2AlZnF7.

Results
As for the uncorrected energy: -4.827 eV/atom. Its space group is Imma (74).

The structure in POSCAR format:
```
Na2AlZnF7
1.0
5.023 3.521 -3.288
-1.257 6.608 -2.211
-1.783 1.831 6.603
Na F Al Zn
4 14 2 2
direct
0.000 0.500 0.500 Na
0.000 0.000 0.500 Na
0.500 0.000 0.500 Na
0.000 0.000 0.000 Na
0.371 0.827 0.948 F
0.726 0.189 0.642 F
0.629 0.173 0.052 F
0.726 0.858 0.311 F
0.750 0.552 0.673 F
0.114 0.636 0.864 F
0.274 0.811 0.358 F
0.250 0.448 0.327 F
0.886 0.364 0.136 F
0.629 0.448 0.327 F
0.371 0.552 0.673 F
0.274 0.142 0.689 F
0.250 0.173 0.052 F
0.750 0.827 0.948 F
0.500 0.000 0.000 Al
0.500 0.500 0.500 Al
0.000 0.500 0.000 Zn
0.500 0.500 0.000 Zn
```

***

Entry 8:
The following is a DFT calculation (PBE) of a relaxed structure of Pr2GdTe3.

Results
As for the uncorrected energy: -5.347 eV/atom. Its space group is P-3m1 (164).

The structure in POSCAR format:
```
Pr2GdTe3
1.0
-2.084 3.409 2.001
-2.098 -3.912 -0.509
3.896 -3.360 9.781
Pr Te Gd
2 3 1
direct
0.667 0.333 0.829 Pr
0.333 0.667 0.171 Pr
0.000 0.000 0.000 Te
0.667 0.333 0.343 Te
0.333 0.667 0.657 Te
0.000 0.000 0.500 Gd
```

***

Entry 9:
The following is a DFT calculation (PBE) of a relaxed structure of K2Ho4H4S9.

Results
As for the uncorrected energy: -4.994 eV/atom. Its space group is C2/m (12).

The structure in POSCAR format:
```
K2Ho4H4S9
1.0
6.894 -1.877 0.000
6.894 1.877 0.000
-5.485 0.000 15.502
S Ho K H
9 4 2 4
direct
0.858 0.858 0.075 S
0.389 0.389 0.861 S
0.658 0.658 0.723 S
0.699 0.699 0.401 S
0.301 0.301 0.599 S
0.142 0.142 0.925 S
0.342 0.342 0.277 S
0.000 0.000 0.500 S
0.611 0.611 0.139 S
0.766 0.766 0.904 Ho
0.657 0.657 0.549 Ho
0.343 0.343 0.451 Ho
0.234 0.234 0.096 Ho
0.964 0.964 0.732 K
0.036 0.036 0.268 K
0.824 0.824 0.276 H
0.478 0.478 0.929 H
0.176 0.176 0.724 H
0.522 0.522 0.071 H
```

***

Entry 10:
The following is a DFT calculation (PBE) of a relaxed structure of PmZr.

Results
Its space group is Pmc2_1 (26). For the relative energy among the computed polymorphs, the calculation gives 10 kJ/mol of formula units. The value obtained for the formation enthalpy at 0 K is 0.130 eV per atom.

The structure in POSCAR format:
```
PmZr
1.0
-4.399 -3.800 0.420
-0.655 -0.422 -10.678
3.553 -4.120 -0.055
Zr Pm
6 6
direct
0.516 0.804 0.000 Zr
0.487 0.498 0.000 Zr
0.987 0.669 0.000 Zr
0.016 0.363 0.000 Zr
0.330 0.349 0.500 Zr
0.830 0.818 0.500 Zr
0.865 0.183 0.500 Pm
0.326 0.665 0.500 Pm
0.476 0.190 0.000 Pm
0.365 0.984 0.500 Pm
0.826 0.502 0.500 Pm
0.976 0.976 0.000 Pm
```

***

Entry 11:
The following is a DFT calculation (PBE) of a relaxed structure of Li2CdPd.

Results
As for the uncorrected energy: -2.867 eV/atom. Its space group is Pmmn (59).

The structure in POSCAR format:
```
Li2CdPd
1.0
5.677 0.000 0.000
0.000 4.602 0.000
0.000 0.000 9.580
Pd Cd Li
4 4 8
direct
0.750 0.750 0.905 Pd
0.750 0.750 0.405 Pd
0.250 0.250 0.095 Pd
0.250 0.250 0.595 Pd
0.750 0.250 0.586 Cd
0.250 0.750 0.914 Cd
0.250 0.750 0.414 Cd
0.750 0.250 0.086 Cd
0.501 0.750 0.161 Li
0.999 0.750 0.661 Li
0.001 0.250 0.339 Li
0.999 0.750 0.161 Li
0.001 0.250 0.839 Li
0.499 0.250 0.339 Li
0.499 0.250 0.839 Li
0.501 0.750 0.661 Li
```

***

Entry 12:
The following is a DFT calculation (PBE) of a relaxed structure of NdYSn.

Results
Its space group is F-43m (216). For the relative energy among the computed polymorphs, the calculation gives 0 kJ/mol of formula units.

The structure in POSCAR format:
```
NdYSn
1.0
-1.084 -3.226 3.961
-1.202 1.943 4.696
-4.887 -0.369 1.806
Nd Sn Y
1 1 1
direct
0.000 0.000 0.000 Nd
0.750 0.750 0.750 Sn
0.500 0.500 0.500 Y
```